# Cd5Hg3

A crystal of Cd5Hg3 relaxed with PBEsol (meta-GGA SCAN, the Alexandria database).

Structure (POSCAR):
```
Cd5Hg3
1.0
8.516 0.000 0.000
-4.258 7.375 0.000
0.000 0.000 5.620
Cd Hg
10 6
Direct
0.000 0.216 0.250 Cd
0.000 0.784 0.750 Cd
0.216 0.000 0.250 Cd
0.216 0.216 0.750 Cd
0.333 0.667 0.000 Cd
0.333 0.667 0.500 Cd
0.667 0.333 0.000 Cd
0.667 0.333 0.500 Cd
0.784 0.000 0.750 Cd
0.784 0.784 0.250 Cd
0.000 0.397 0.750 Hg
0.000 0.603 0.250 Hg
0.397 0.000 0.750 Hg
0.397 0.397 0.250 Hg
0.603 0.000 0.250 Hg
0.603 0.603 0.750 Hg
```

## Properties
Total magnetization, μB per cell: 0.00
E, eV/cell: -712.7